1.
ZnAgCl2 | PBE | relaxed

The energy above the lowest structure with this stoichiometry is 0.92 eV per formula unit. The energy relative to the elements, uncorrected comes out at -1.1 eV per formula unit.

```
ZnAgCl2
1.0
3.718 0.000 0.000
0.000 3.809 0.000
0.000 0.000 6.800
Zn Ag Cl
1 1 2
Direct
0.000 0.000 0.000
0.000 0.500 0.500
0.500 0.000 0.500
0.500 0.500 0.000
```

***

2.
Li14ZnCd | PBE | relaxed

As for the formation energy from the elements: -53 meV per atom.

```
Li14ZnCd
1.0
9.246 0.000 0.000
0.000 3.467 4.688
0.000 -3.467 4.688
Li Zn Cd
14 1 1
Direct
0.000 0.000 0.000
0.000 0.476 0.476
0.000 0.512 0.963
0.000 0.963 0.512
0.243 0.232 0.232
0.264 0.209 0.736
0.264 0.736 0.209
0.273 0.716 0.716
0.500 0.441 0.984
0.500 0.984 0.441
0.727 0.716 0.716
0.736 0.209 0.736
0.736 0.736 0.209
0.757 0.232 0.232
0.500 0.953 0.953
0.500 0.470 0.470
```

***

3.
Pa2CdPN5 | PBE | relaxed

The energy relative to the elements, uncorrected comes out at -5.5 eV per formula unit.

```
Pa2CdPN5
1.0
6.728 0.000 0.000
0.000 6.728 0.000
0.000 0.000 5.308
Pa Cd P N
4 2 2 10
Direct
0.186 0.314 0.000
0.314 0.814 0.000
0.686 0.186 0.000
0.814 0.686 0.000
0.000 0.000 0.500
0.500 0.500 0.500
0.000 0.500 0.500
0.500 0.000 0.500
0.000 0.000 0.000
0.127 0.627 0.264
0.127 0.627 0.736
0.373 0.127 0.264
0.373 0.127 0.736
0.500 0.500 0.000
0.627 0.873 0.264
0.627 0.873 0.736
0.873 0.373 0.264
0.873 0.373 0.736
```

***

4.
MgSc2Ni3 | PBE | relaxed

As for the formation energy from the elements: -402 meV per atom.

```
MgSc2Ni3
1.0
3.124 0.000 0.000
0.000 3.124 0.000
0.000 0.000 9.466
Mg Sc Ni
1 2 3
Direct
0.000 0.000 0.000
0.000 0.000 0.328
0.000 0.000 0.672
0.500 0.500 0.168
0.500 0.500 0.500
0.500 0.500 0.832
```

***

5.
BC2 | PBE | relaxed

The energy above the lowest structure with this stoichiometry is 0.43 eV per formula unit. As for the formation energy from the elements: 384 meV per atom.

```
BC2
1.0
3.770 0.000 0.000
-1.872 4.177 0.000
-0.076 -1.656 4.898
B C
4 8
Direct
0.000 0.000 0.000
0.023 0.024 0.497
0.312 0.675 0.135
0.611 0.661 0.457
0.280 0.000 0.755
0.291 0.024 0.263
0.325 0.668 0.678
0.595 0.657 0.910
0.670 0.334 0.833
0.685 0.330 0.332
0.916 0.338 0.089
0.923 0.348 0.590
```

***

6.
NdCd4Hg | PBE | relaxed

The energy above the lowest structure with this stoichiometry is 0.69 eV per formula unit. As for the formation energy from the elements: -105 meV per atom.

```
NdCd4Hg
1.0
0.000 4.219 4.219
4.219 0.000 4.219
4.219 4.219 0.000
Nd Cd Hg
1 4 1
Direct
0.000 0.000 0.000
0.375 0.375 0.375
0.375 0.375 0.876
0.375 0.876 0.375
0.876 0.375 0.375
0.750 0.750 0.750
```

***

7.
Li2LaDy | PBE | relaxed

The energy above the lowest structure with this stoichiometry is 0.03 eV per formula unit. As for the formation energy from the elements: 158 meV per atom.

```
Li2LaDy
1.0
0.000 3.805 3.805
3.805 0.000 3.805
3.805 3.805 0.000
Li La Dy
2 1 1
Direct
0.250 0.250 0.250
0.750 0.750 0.750
0.000 0.000 0.000
0.500 0.500 0.500
```

***

8.
AlP2I | PBE | relaxed

The energy above the lowest structure with this stoichiometry is 0.00 eV per formula unit. The energy relative to the elements, uncorrected comes out at 1.6 eV per formula unit.

```
AlP2I
1.0
-3.327 3.327 4.543
3.327 -3.327 4.543
3.327 3.327 -4.543
Al P I
2 4 2
Direct
0.000 0.000 0.000
0.750 0.250 0.500
0.063 0.625 0.938
0.375 0.313 0.438
0.687 0.125 0.062
0.875 0.937 0.562
0.250 0.750 0.500
0.500 0.500 0.000
```

***

9.
HoNp2In3Te6 | PBE | relaxed

The energy relative to the elements, uncorrected comes out at -7.6 eV per formula unit.

```
HoNp2In3Te6
1.0
3.834 -6.637 0.000
3.834 6.637 0.000
-2.554 0.000 8.145
Ho Np In Te
1 2 3 6
Direct
0.000 0.000 0.000
0.333 0.667 0.000
0.667 0.333 0.000
0.167 0.833 0.500
0.500 0.500 0.500
0.833 0.167 0.500
0.073 0.403 0.219
0.257 0.257 0.780
0.403 0.073 0.219
0.597 0.927 0.781
0.743 0.743 0.220
0.927 0.597 0.781
```

***

10.
Zr2Pt8Rh | PBE | relaxed

As for the formation energy from the elements: -175 meV per atom.

```
Zr2Pt8Rh
1.0
5.352 -3.590 0.000
5.352 3.590 0.000
-1.111 0.000 5.625
Zr Pt Rh
2 8 1
Direct
0.224 0.224 0.296
0.776 0.776 0.704
0.181 0.181 0.730
0.182 0.568 0.032
0.427 0.427 0.652
0.432 0.818 0.968
0.568 0.182 0.032
0.573 0.573 0.348
0.818 0.432 0.968
0.819 0.819 0.270
0.000 0.000 0.000
```

***

11.
CsIn2H | PBE | relaxed

The energy above the lowest structure with this stoichiometry is 0.00 eV per formula unit.

```
CsIn2H
1.0
3.011 -3.011 0.000
3.011 3.011 0.000
0.000 0.000 12.426
Cs In H
2 4 2
Direct
0.248 0.752 0.750
0.752 0.248 0.250
0.251 0.749 0.054
0.251 0.749 0.446
0.749 0.251 0.554
0.749 0.251 0.946
0.252 0.748 0.250
0.748 0.252 0.750
```

***

12.
Rb6Au3Se | PBE | relaxed

The energy relative to the elements, uncorrected comes out at -4.6 eV per formula unit.

```
Rb6Au3Se
1.0
11.705 0.000 0.000
0.000 5.099 0.000
-4.613 0.000 13.736
Rb Au Se
12 6 2
Direct
0.001 0.250 0.382
0.138 0.750 0.208
0.212 0.250 0.035
0.323 0.250 0.643
0.390 0.750 0.888
0.412 0.250 0.347
0.588 0.750 0.653
0.610 0.250 0.112
0.677 0.750 0.357
0.788 0.750 0.965
0.862 0.250 0.792
0.999 0.750 0.618
0.069 0.750 0.862
0.149 0.250 0.788
0.272 0.750 0.470
0.728 0.250 0.530
0.851 0.750 0.212
0.931 0.250 0.138
0.416 0.750 0.166
0.584 0.250 0.834
```

***

In eV per formula unit, the final energy values for the records above are, in order, -8.95 -29.84 -72.47 -34.01 -23.97 -9.36 -12.72 -14.53 -65.10 -74.70 -9.40 -23.72.